DFT (GGA-PBE) results for a relaxed EuTlPd4 crystal.

Geometry as extended XYZ:
```
6
Lattice="0.0000 3.8649 3.8649 3.8649 0.0000 3.8649 3.8649 3.8649 0.0000" Properties=species:S:1:pos:R:3 pbc="T T T"
Eu 0.0000 0.0000 0.0000
Tl 5.7973 5.7973 5.7973
Pd 2.9015 2.9015 2.9015
Pd 4.8283 4.8283 2.9015
Pd 4.8283 2.9015 4.8283
Pd 2.9015 4.8283 4.8283
```

Calculated values
DFT formation energy ... -0.50 eV/atom


DFT (GGA-PBE) results for a relaxed Eu2TlPd crystal.

Geometry as extended XYZ:
```
4
Lattice="2.0018 1.1558 10.3418 -2.0018 1.1558 10.3418 0.0000 -2.3115 10.3418" Properties=species:S:1:pos:R:3 pbc="T T T"
Eu 0.0000 0.0000 3.3831
Eu 0.0000 0.0000 27.6422
Tl 0.0000 0.0000 0.0000
Pd 0.0000 0.0000 15.5126
```

Calculated values
DFT formation energy ... -0.24 eV/atom
Offset from the most stable computed form ... 281 meV per atom


DFT (GGA-PBE) results for a relaxed Eu2TlPd crystal.

Geometry as extended XYZ:
```
4
Lattice="3.6748 0.0000 0.0000 0.0000 3.6748 0.0000 0.0000 0.0000 8.1739" Properties=species:S:1:pos:R:3 pbc="T T T"
Eu 0.0000 0.0000 1.7827
Eu 0.0000 0.0000 6.3913
Tl 1.8374 1.8374 4.0870
Pd 1.8374 1.8374 0.0000
```

Calculated values
DFT formation energy ... -0.52 eV/atom
Offset from the most stable computed form ... 0 meV per atom


DFT (GGA-PBE) results for a relaxed EuTlPd2 crystal.

Geometry as extended XYZ:
```
4
Lattice="4.7502 0.0000 0.0000 0.0000 4.7502 0.0000 0.0000 0.0000 3.8087" Properties=species:S:1:pos:R:3 pbc="T T T"
Eu 0.0000 0.0000 0.0000
Tl 2.3751 2.3751 0.0000
Pd 0.0000 2.3751 1.9043
Pd 2.3751 0.0000 1.9043
```

Calculated values
DFT formation energy ... -0.42 eV/atom


DFT (GGA-PBE) results for a relaxed Eu3TlPd crystal.

Geometry as extended XYZ:
```
5
Lattice="5.6991 0.0000 0.0000 0.0000 5.6991 0.0000 0.0000 0.0000 5.6991" Properties=species:S:1:pos:R:3 pbc="T T T"
Eu 0.0000 0.0000 2.8496
Eu 0.0000 2.8496 0.0000
Eu 2.8496 0.0000 0.0000
Tl 2.8496 2.8496 2.8496
Pd 0.0000 0.0000 0.0000
```

Calculated values
DFT formation energy ... -0.30 eV/atom


DFT (GGA-PBE) results for a relaxed EuTlPd2 crystal.

Geometry as extended XYZ:
```
4
Lattice="0.0000 3.4921 3.4921 3.4921 0.0000 3.4921 3.4921 3.4921 0.0000" Properties=species:S:1:pos:R:3 pbc="T T T"
Eu 0.0000 0.0000 0.0000
Tl 3.4921 3.4921 3.4921
Pd 1.7460 1.7460 1.7460
Pd 5.2381 5.2381 5.2381
```

Calculated values
DFT formation energy ... -0.47 eV/atom


- DFT formation energy of number 4 (EuTlPd2)?
  -0.42 eV/atom